{"formula": "AcDyPb4", "functional": "PBE", "state": "optimized geometry", "delta_e_f_ev_per_atom": -0.168, "volume_a3_per_atom": 32.9, "total_magnetization_mub_per_atom": 0.11, "lattice": [[0.000, 4.619, 4.619], [4.619, 0.000, 4.619], [4.619, 4.619, 0.000]], "species": ["Ac", "Dy", "Pb", "Pb", "Pb", "Pb"], "fractional_positions": [[0.000, 0.000, 0.000], [0.750, 0.750, 0.750], [0.376, 0.376, 0.376], [0.376, 0.376, 0.873], [0.376, 0.873, 0.376], [0.873, 0.376, 0.376]]}

***

{"formula": "AcDyPb3", "functional": "PBE", "state": "optimized geometry", "delta_e_f_ev_per_atom": -0.213, "volume_a3_per_atom": 35.6, "total_magnetization_mub_per_atom": 0.00, "lattice": [[3.460, -3.463, 0.000], [3.460, 3.463, 0.000], [-3.442, 0.000, 7.428]], "species": ["Ac", "Dy", "Pb", "Pb", "Pb"], "fractional_positions": [[0.000, 0.000, 0.000], [0.314, 0.314, 0.630], [0.179, 0.679, 0.360], [0.518, 0.518, 0.035], [0.679, 0.179, 0.360]]}